(1)
# Rb2PrGaI6 (PBE-GGA, optimized geometry)
# E_tot   -0.23101 Ry per atom
# Fermi-level density of states   0.00 states/eV/f.u.
# Magnetization   0.00 μB per cell
# Formation energy without anion corrections   -1239 meV per atom
data_Rb2PrGaI6
_cell_length_a 8.8216
_cell_length_b 8.8216
_cell_length_c 21.9994
_cell_angle_alpha 90.00
_cell_angle_beta 90.00
_cell_angle_gamma 120.00
_space_group_name_H-M_alt 'R 3'
_space_group_IT_number 146
_space_group_name_Hall 'R 3'
loop_
_atom_site_label
_atom_site_fract_x
_atom_site_fract_y
_atom_site_fract_z
Rb1 0.0000 0.0000 0.0000
Rb2 0.0000 0.0000 0.4938
Pr1 0.0000 0.0000 0.7123
Ga1 0.0000 0.0000 0.2159
I1 0.0046 0.4148 0.4578
I2 0.0839 0.7327 0.2927



(2)
# AcEr2Cd2 (PBE-GGA, optimized geometry)
# E_tot   -0.22781 Ry per atom
# Fermi-level density of states   5.29 states/eV/f.u.
# Magnetization   0.00 μB per cell
# DFT formation energy   -0.4 eV per formula unit
data_AcEr2Cd2
_cell_length_a 3.867
_cell_length_b 21.261
_cell_length_c 3.780
_cell_angle_alpha 90.00
_cell_angle_beta 90.00
_cell_angle_gamma 90.00
_space_group_name_H-M_alt 'C m m m'
_space_group_IT_number 65
_space_group_name_Hall '-C 2 2'
loop_
_atom_site_label
_atom_site_fract_x
_atom_site_fract_y
_atom_site_fract_z
Ac1 0.000 0.000 0.000
Er1 0.000 0.183 0.000
Cd1 0.000 0.393 0.500



(3)
# Ce3SbTe (PBE-GGA, optimized geometry)
# E_tot   -0.42627 Ry per atom
# Fermi-level density of states   14.93 states/eV/f.u.
# Magnetization   5.58 μB per cell
# Formation energy without anion corrections   -787 meV per atom
data_Ce3SbTe
_cell_length_a 4.115
_cell_length_b 8.622
_cell_length_c 10.219
_cell_angle_alpha 113.25
_cell_angle_beta 95.96
_cell_angle_gamma 96.25
_space_group_name_H-M_alt 'P -1'
_space_group_IT_number 2
_space_group_name_Hall '-P 1'
loop_
_atom_site_label
_atom_site_fract_x
_atom_site_fract_y
_atom_site_fract_z
Ce1 0.069 0.396 0.375
Ce2 0.075 0.716 0.113
Ce3 0.302 0.210 0.531
Sb1 0.470 0.549 0.839
Te1 0.317 0.987 0.723



Quick rundown of volume, same order as above: 49.42, 31.08, 32.69 Å³ per atom